Record 1
Entry from Alexandria: a relaxed Sc3Zn3Ni2 crystal (PBE-GGA).

Lattice parameters (Å, degrees): 6.7773 6.7773 3.3976 90.00 90.00 120.00
Sites, in units of the cell vectors:
Sc 0.0000 0.5852 0.0000
Sc 0.4148 0.4148 0.0000
Sc 0.5852 0.0000 0.0000
Zn 0.0000 0.2312 0.5000
Zn 0.2312 0.0000 0.5000
Zn 0.7688 0.7688 0.5000
Ni 0.3333 0.6667 0.5000
Ni 0.6667 0.3333 0.5000

Total magnetization: 0.0 μB per formula unit
V: 135.2 Å³/cell
Energy of formation from the pure elements: -0.428 eV per atom
Energy: -37.807 eV for the cell shown
Crystal system: hexagonal

Record 2
Entry from Alexandria: a relaxed La6SiSe2S3 crystal (PBE-GGA).

Lattice parameters (Å, degrees): 9.5078 9.5078 8.5137 102.62 102.62 25.87
Sites, in units of the cell vectors:
La 0.0018 0.0018 0.2518
La 0.3347 0.3347 0.4269
La 0.3385 0.3385 0.9090
La 0.6615 0.6615 0.0910
La 0.6653 0.6653 0.5731
La 0.9982 0.9982 0.7482
Si 0.5000 0.5000 0.5000
Se 0.1690 0.1690 0.8364
Se 0.8310 0.8310 0.1636
S 0.1674 0.1674 0.3316
S 0.5000 0.5000 0.0000
S 0.8326 0.8326 0.6684

Total magnetization: 0.0 μB per formula unit
V: 327.3 Å³/cell
Energy: -76.907 eV for the cell shown
Crystal system: monoclinic

Record 3
Entry from Alexandria: a relaxed MoRuPt2 crystal (PBE-GGA).

Lattice parameters (Å, degrees): 2.7299 2.7299 8.1103 90.00 90.00 90.00
Sites, in units of the cell vectors:
Mo 0.0000 0.0000 0.0000
Ru 0.0000 0.0000 0.5000
Pt 0.5000 0.5000 0.2516
Pt 0.5000 0.5000 0.7484

Total magnetization: 0.0 μB per formula unit
V: 60.4 Å³/cell
Energy of formation from the pure elements: -0.094 eV per atom
Energy: -32.563 eV for the cell shown
Crystal system: tetragonal

Record 4
Entry from Alexandria: a relaxed PmPaSi2Pt4 crystal (PBE-GGA).

Lattice parameters (Å, degrees): 4.0668 4.0668 9.3656 90.00 90.00 90.00
Sites, in units of the cell vectors:
Pm 0.0000 0.0000 0.0000
Pa 0.0000 0.0000 0.5000
Si 0.5000 0.5000 0.1276
Si 0.5000 0.5000 0.8724
Pt 0.0000 0.5000 0.2782
Pt 0.0000 0.5000 0.7218
Pt 0.5000 0.0000 0.2782
Pt 0.5000 0.0000 0.7218

Total magnetization: 0.0 μB per formula unit
V: 154.9 Å³/cell
Energy: -56.579 eV for the cell shown
Crystal system: tetragonal